# GGA-PBE KMnSi2, relaxed
# * formation energy from raw total energies: 0.50 eV/atom
# * Fermi-level density of states: 0.466 states/eV/atom
# * relative energy among the computed polymorphs: 425.6 meV/atom
# * DFT total energy: -38.210 eV/cell
data_KMnSi2
_symmetry_space_group_name_H-M 'I m m m'
_symmetry_Int_Tables_number 71
_symmetry_space_group_name_Hall '-I 2 2'
_cell_length_a 2.642
_cell_length_b 6.289
_cell_length_c 10.339
_cell_angle_alpha 90.00
_cell_angle_beta 90.00
_cell_angle_gamma 90.00
loop_
_atom_site_label
_atom_site_fract_x
_atom_site_fract_y
_atom_site_fract_z
K1 0.000 0.000 0.000
Mn1 0.000 0.000 0.500
Si1 0.000 0.500 0.192